No. 1
Computed, not measured: crystalline Li2TaCuS4 at its relaxed geometry at the PBE level of DFT.

Cell: 6.3852 6.8825 7.6573 Å, 90.00 90.00 90.00°
Sites, in units of the cell vectors:
1 S 0.8560 0.8465 0.5000
2 S 0.8897 0.3241 0.2501
3 S 0.3560 0.1535 0.0000
4 S 0.3897 0.6759 0.7501
5 S 0.3645 0.1439 0.5000
6 S 0.3897 0.6759 0.2499
7 S 0.8897 0.3241 0.7499
8 S 0.8645 0.8561 0.0000
9 Li 0.5002 0.3302 0.2509
10 Li 0.5002 0.3302 0.7491
11 Li 0.0001 0.6698 0.2491
12 Li 0.0001 0.6698 0.7509
13 Cu 0.5017 0.8429 0.0000
14 Cu 0.0017 0.1571 0.5000
15 Ta 0.9979 0.1659 0.0000
16 Ta 0.4979 0.8341 0.5000

Its density of states at the Fermi level is 0.00 states/eV/f.u. The space group is No. 31. The calculation puts the uncorrected formation energy at -963.8 meV per atom. The calculation puts the volume at 336.51 Å³ per cell.


No. 2
Computed, not measured: crystalline La2TlHgRh at its relaxed geometry at the PBE level of DFT.

Cell: 4.1090 8.5207 8.5989 Å, 111.71 90.00 90.00°
Sites, in units of the cell vectors:
1 Rh 0.7500 0.1116 0.1060
2 Rh 0.2500 0.8884 0.8940
3 Hg 0.7500 0.4409 0.3469
4 Hg 0.2500 0.5591 0.6531
5 La 0.2500 0.2837 0.9998
6 La 0.7500 0.7163 0.0002
7 La 0.2500 0.1160 0.3432
8 La 0.7500 0.8840 0.6568
9 Tl 0.7500 0.2980 0.6888
10 Tl 0.2500 0.7020 0.3112

Its density of states at the Fermi level is 2.96 states/eV/f.u. The energy of formation from the pure elements is -0.557 eV per atom. The space group is No. 11. The calculation puts the volume at 279.70 Å³ per cell.


No. 3
Computed, not measured: crystalline Nd2Cu2Ge3 at its relaxed geometry at the PBE level of DFT.

Cell: 4.3827 6.8424 9.4822 Å, 90.00 103.36 90.00°
Sites, in units of the cell vectors:
1 Ge 0.5640 0.0637 0.1280
2 Ge 0.4360 0.9363 0.8720
3 Ge 0.7779 0.2500 0.5558
4 Ge 0.4360 0.5637 0.8720
5 Ge 0.2221 0.7500 0.4442
6 Ge 0.5640 0.4363 0.1280
7 Cu 0.6897 0.5642 0.3795
8 Cu 0.3103 0.0642 0.6205
9 Cu 0.6897 0.9358 0.3795
10 Cu 0.3103 0.4358 0.6205
11 Nd 0.9486 0.2500 0.8972
12 Nd 0.1594 0.2500 0.3188
13 Nd 0.0514 0.7500 0.1028
14 Nd 0.8406 0.7500 0.6812

Its density of states at the Fermi level is 1.11 states/eV/f.u. The energy of formation from the pure elements is -0.627 eV per atom. The space group is No. 63. The calculation puts the volume at 276.66 Å³ per cell.


No. 4
Computed, not measured: crystalline CaZn2W at its relaxed geometry at the PBE level of DFT.

Cell: 4.7697 4.7697 4.7697 Å, 60.00 60.00 60.00°
Sites, in units of the cell vectors:
1 Zn 0.0000 0.0000 0.0000
2 Zn 0.2500 0.2500 0.2500
3 W 0.7500 0.7500 0.7500
4 Ca 0.5000 0.5000 0.5000

Its density of states at the Fermi level is 3.06 states/eV/f.u. The energy of formation from the pure elements is 0.831 eV per atom. The space group is No. 216. The calculation puts the volume at 76.73 Å³ per cell.